The following is a PBE calculation of CsSnAuSe2S after structural relaxation, from the Open Quantum Materials Database.

Cell: 8.1527 8.1527 11.0752 Å, 90.00 90.00 150.80°
Last column: nearest neighbours and their distance in Å.
Sites, in units of the cell vectors:
1 Cs 0.2295 0.7705 0.7500  6 Se 3.57-3.97, 2 S 3.72, 2 Au 3.74
2 Cs 0.7705 0.2295 0.2500  6 Se 3.57-3.97, 2 S 3.72, 2 Au 3.74
3 Sn 0.5000 0.5000 0.0000  4 Se 2.81, 2 S 2.82
4 Sn 0.5000 0.5000 0.5000  4 Se 2.81, 2 S 2.82
5 Au 0.0722 0.9278 0.2500  2 Se 2.53, 2 S 2.64
6 Au 0.9278 0.0722 0.7500  2 Se 2.53, 2 S 2.64
7 Se 0.1196 0.8804 0.0317  1 Au 2.53, 2 Sn 2.81
8 Se 0.1196 0.8804 0.4683  1 Au 2.53, 2 Sn 2.81
9 Se 0.8804 0.1196 0.5317  1 Au 2.53, 2 Sn 2.81
10 Se 0.8804 0.1196 0.9683  1 Au 2.53, 2 Sn 2.81
11 S 0.4673 0.5327 0.2500  2 Au 2.64, 2 Sn 2.82
12 S 0.5327 0.4673 0.7500  2 Au 2.64, 2 Sn 2.82

Values from the calculation:
Energy, Ha/atom: -0.1335
Volume, Å³ per cell: 359.2
Crystal system: orthorhombic